Record 1
The following is a PBE calculation of a relaxed Y2ScTiO crystal, from Alexandria. Values from VASP.

**Crystal system**: tetragonal

```
&SYSTEM
  ibrav = 0, nat = 5, ntyp = 4
/
ATOMIC_SPECIES
Y 88.91 Y.upf
Sc 44.96 Sc.upf
Ti 47.87 Ti.upf
O 16.00 O.upf
ATOMIC_POSITIONS crystal
Y 0.500 0.000 0.000
Sc 0.500 0.500 0.500
Ti 0.000 0.000 0.500
Y 0.000 0.500 0.000
O 0.000 0.000 0.000
CELL_PARAMETERS angstrom
-1.717 -2.771 -3.819
4.342 -2.519 -0.124
-1.496 -2.709 2.638
```

Record 2
The following is a PBE calculation of a relaxed Y2ScTiO crystal, from Alexandria. Values from VASP.

**Crystal system**: tetragonal

```
&SYSTEM
  ibrav = 0, nat = 5, ntyp = 4
/
ATOMIC_SPECIES
O 16.00 O.upf
Y 88.91 Y.upf
Ti 47.87 Ti.upf
Sc 44.96 Sc.upf
ATOMIC_POSITIONS crystal
O 0.000 0.000 0.000
Y 0.000 0.000 0.500
Y 0.500 0.000 0.000
Ti 0.500 0.500 0.500
Sc 0.000 0.500 0.000
CELL_PARAMETERS angstrom
4.915 0.000 0.000
0.000 4.271 0.000
0.000 0.000 4.915
```

Record 3
The following is a PBE calculation of a relaxed YSc2TiO crystal, from Alexandria. Values from VASP.

**Crystal system**: tetragonal

```
&SYSTEM
  ibrav = 0, nat = 5, ntyp = 4
/
ATOMIC_SPECIES
Ti 47.87 Ti.upf
Y 88.91 Y.upf
O 16.00 O.upf
Sc 44.96 Sc.upf
ATOMIC_POSITIONS crystal
Ti 0.500 0.500 0.500
Y 0.000 0.000 0.500
O 0.000 0.000 0.000
Sc 0.500 0.000 0.000
Sc 0.000 0.500 0.000
CELL_PARAMETERS angstrom
4.407 0.000 0.000
0.000 4.407 0.000
0.000 0.000 4.919
```

Record 4
The following is a PBE calculation of a relaxed Sc2TiZnO6 crystal, from Alexandria. Values from VASP.

**Crystal system**: tetragonal

```
&SYSTEM
  ibrav = 0, nat = 10, ntyp = 4
/
ATOMIC_SPECIES
O 16.00 O.upf
Sc 44.96 Sc.upf
Zn 65.41 Zn.upf
Ti 47.87 Ti.upf
ATOMIC_POSITIONS crystal
O 0.169 0.500 0.500
Sc 0.966 0.000 0.500
Zn 0.544 0.500 0.500
O 0.747 0.755 0.245
Sc 0.966 0.500 0.000
O 0.747 0.245 0.245
O 0.747 0.755 0.755
O 0.747 0.245 0.755
Ti 0.589 0.000 0.000
O 0.226 0.000 0.000
CELL_PARAMETERS angstrom
-2.330 0.357 -4.409
3.994 -2.052 -2.277
-1.973 -4.584 0.671
```

Record 5
The following is a PBE calculation of a relaxed ScTi2ZnO crystal, from Alexandria. Values from VASP.

**Crystal system**: tetragonal

```
&SYSTEM
  ibrav = 0, nat = 5, ntyp = 4
/
ATOMIC_SPECIES
O 16.00 O.upf
Zn 65.41 Zn.upf
Ti 47.87 Ti.upf
Sc 44.96 Sc.upf
ATOMIC_POSITIONS crystal
O 0.000 0.000 0.000
Zn 0.500 0.500 0.500
Ti 0.500 0.000 0.000
Sc 0.000 0.000 0.500
Ti 0.000 0.500 0.000
CELL_PARAMETERS angstrom
-1.613 -3.769 -0.454
0.723 -0.789 3.983
-3.917 1.554 1.019
```

Record 6
The following is a PBE calculation of a relaxed ZrSc2TiO crystal, from Alexandria. Values from VASP.

**Crystal system**: tetragonal

```
&SYSTEM
  ibrav = 0, nat = 5, ntyp = 4
/
ATOMIC_SPECIES
Sc 44.96 Sc.upf
O 16.00 O.upf
Ti 47.87 Ti.upf
Zr 91.22 Zr.upf
ATOMIC_POSITIONS crystal
Sc 0.500 0.000 0.000
O 0.000 0.000 0.000
Sc 0.000 0.500 0.000
Ti 0.000 0.000 0.500
Zr 0.500 0.500 0.500
CELL_PARAMETERS angstrom
-2.462 -3.495 1.400
1.347 -2.380 -3.572
3.358 -1.467 2.244
```

Record 7
The following is a PBE calculation of a relaxed ZrSc2TiO crystal, from Alexandria. Values from VASP.

**Crystal system**: tetragonal

```
&SYSTEM
  ibrav = 0, nat = 5, ntyp = 4
/
ATOMIC_SPECIES
Sc 44.96 Sc.upf
Zr 91.22 Zr.upf
Ti 47.87 Ti.upf
O 16.00 O.upf
ATOMIC_POSITIONS crystal
Sc 0.000 0.500 0.000
Sc 0.500 0.000 0.000
Zr 0.000 0.000 0.500
Ti 0.500 0.500 0.500
O 0.000 0.000 0.000
CELL_PARAMETERS angstrom
-4.264 0.852 -0.350
-0.160 -2.319 -3.692
-0.967 -3.833 2.449
```

Record 8
The following is a PBE calculation of a relaxed Sc3TlO2 crystal, from Alexandria. Values from VASP.

**Crystal system**: tetragonal

```
&SYSTEM
  ibrav = 0, nat = 6, ntyp = 3
/
ATOMIC_SPECIES
Tl 204.38 Tl.upf
Sc 44.96 Sc.upf
O 16.00 O.upf
ATOMIC_POSITIONS crystal
Tl 0.000 0.000 0.000
Sc 0.750 0.250 0.500
Sc 0.250 0.750 0.500
Sc 0.500 0.500 0.000
O 0.700 0.700 0.400
O 0.300 0.300 0.600
CELL_PARAMETERS angstrom
4.125 0.000 -0.960
-0.223 4.119 -0.960
-0.764 -0.807 6.059
```

Record 9
The following is a PBE calculation of a relaxed Sc6Tl2O crystal, from Alexandria. Values from VASP.

**Crystal system**: tetragonal

```
&SYSTEM
  ibrav = 0, nat = 18, ntyp = 3
/
ATOMIC_SPECIES
Tl 204.38 Tl.upf
Sc 44.96 Sc.upf
O 16.00 O.upf
ATOMIC_POSITIONS crystal
Tl 0.500 0.000 0.250
Sc 0.753 0.753 0.500
Sc 0.253 0.747 0.000
Sc 0.000 0.000 0.748
Sc 0.500 0.500 0.752
Sc 0.253 0.253 0.000
Sc 0.000 0.000 0.252
Sc 0.247 0.753 0.500
Sc 0.753 0.247 0.500
Tl 0.500 0.000 0.750
Sc 0.747 0.747 0.000
Tl 0.000 0.500 0.250
Sc 0.500 0.500 0.248
Sc 0.247 0.247 0.500
O 0.500 0.500 0.000
Sc 0.747 0.253 0.000
O 0.000 0.000 0.500
Tl 0.000 0.500 0.750
CELL_PARAMETERS angstrom
6.379 0.000 -0.170
0.000 6.381 0.000
0.239 0.000 9.003
```

Record 10
The following is a PBE calculation of a relaxed Sc5Tl2O2 crystal, from Alexandria. Values from VASP.

**Crystal system**: tetragonal

```
&SYSTEM
  ibrav = 0, nat = 9, ntyp = 3
/
ATOMIC_SPECIES
Sc 44.96 Sc.upf
O 16.00 O.upf
Tl 204.38 Tl.upf
ATOMIC_POSITIONS crystal
Sc 0.500 0.000 0.223
O 0.500 0.500 0.741
O 0.500 0.500 0.259
Tl 0.000 0.000 0.000
Tl 0.000 0.000 0.500
Sc 0.500 0.000 0.777
Sc 0.000 0.500 0.223
Sc 0.500 0.500 0.500
Sc 0.000 0.500 0.777
CELL_PARAMETERS angstrom
-4.048 0.122 1.749
0.666 -3.964 1.818
3.230 3.848 7.208
```

Record 11
The following is a PBE calculation of a relaxed Sc6Tl3O crystal, from Alexandria. Values from VASP.

**Crystal system**: orthorhombic

```
&SYSTEM
  ibrav = 0, nat = 20, ntyp = 3
/
ATOMIC_SPECIES
O 16.00 O.upf
Sc 44.96 Sc.upf
Tl 204.38 Tl.upf
ATOMIC_POSITIONS crystal
O 0.130 0.213 0.787
Sc 0.148 0.422 0.249
Tl 0.146 0.084 0.251
Sc 0.155 0.092 0.564
Sc 0.655 0.908 0.436
Sc 0.655 0.564 0.092
Sc 0.155 0.436 0.908
Sc 0.163 0.761 0.239
Tl 0.646 0.251 0.084
Tl 0.147 0.418 0.582
Sc 0.647 0.915 0.085
Tl 0.146 0.749 0.916
Tl 0.646 0.916 0.749
O 0.630 0.787 0.213
Tl 0.647 0.582 0.418
Sc 0.648 0.578 0.751
Sc 0.148 0.751 0.578
Sc 0.663 0.239 0.761
Sc 0.648 0.249 0.422
Sc 0.147 0.085 0.915
CELL_PARAMETERS angstrom
-0.676 -1.909 -4.465
-1.600 -8.709 3.965
-8.378 4.826 -0.795
```

Record 12
The following is a PBE calculation of a relaxed Sc2TlO crystal, from Alexandria. Values from VASP.

**Crystal system**: trigonal

```
&SYSTEM
  ibrav = 0, nat = 4, ntyp = 3
/
ATOMIC_SPECIES
O 16.00 O.upf
Tl 204.38 Tl.upf
Sc 44.96 Sc.upf
ATOMIC_POSITIONS crystal
O 0.500 0.500 0.500
Tl 0.000 0.000 0.000
Sc 0.119 0.119 0.119
Sc 0.881 0.881 0.881
CELL_PARAMETERS angstrom
1.908 0.000 8.308
-0.954 1.652 8.308
-0.954 -1.652 8.308
```

Record 13
The following is a PBE calculation of a relaxed ScTl3O crystal, from Alexandria. Values from VASP.

**Crystal system**: cubic

```
&SYSTEM
  ibrav = 0, nat = 5, ntyp = 3
/
ATOMIC_SPECIES
Tl 204.38 Tl.upf
Sc 44.96 Sc.upf
O 16.00 O.upf
ATOMIC_POSITIONS crystal
Tl 0.000 0.500 0.000
Tl 0.000 0.000 0.500
Tl 0.500 0.000 0.000
Sc 0.000 0.000 0.000
O 0.500 0.500 0.500
CELL_PARAMETERS angstrom
5.732 0.000 0.000
0.000 5.732 0.000
0.000 0.000 5.732
```

Record 14
The following is a PBE calculation of a relaxed Sc2TlO crystal, from Alexandria. Values from VASP.

**Crystal system**: cubic

```
&SYSTEM
  ibrav = 0, nat = 4, ntyp = 3
/
ATOMIC_SPECIES
O 16.00 O.upf
Tl 204.38 Tl.upf
Sc 44.96 Sc.upf
ATOMIC_POSITIONS crystal
O 0.000 0.000 0.000
Tl 0.500 0.500 0.500
Sc 0.750 0.750 0.750
Sc 0.250 0.250 0.250
CELL_PARAMETERS angstrom
0.000 3.368 3.368
3.368 0.000 3.368
3.368 3.368 0.000
```

Record 15
The following is a PBE calculation of a relaxed Sc3Tl2O crystal, from Alexandria. Values from VASP.

**Crystal system**: monoclinic

```
&SYSTEM
  ibrav = 0, nat = 12, ntyp = 3
/
ATOMIC_SPECIES
O 16.00 O.upf
Sc 44.96 Sc.upf
Tl 204.38 Tl.upf
ATOMIC_POSITIONS crystal
O 0.921 0.750 0.000
Sc 0.968 0.889 0.782
Sc 0.421 0.250 0.000
Sc 0.814 0.389 0.782
Tl 0.745 0.557 0.379
Tl 0.635 0.057 0.379
Sc 0.186 0.611 0.218
Sc 0.032 0.111 0.218
Tl 0.365 0.943 0.621
O 0.079 0.250 0.000
Tl 0.255 0.443 0.621
Sc 0.579 0.750 0.000
CELL_PARAMETERS angstrom
-1.176 2.457 5.427
-4.125 -4.602 1.189
6.220 -3.962 -0.255
```

Record 16
The following is a PBE calculation of a relaxed ScTl3O crystal, from Alexandria. Values from VASP.

**Crystal system**: cubic

```
&SYSTEM
  ibrav = 0, nat = 5, ntyp = 3
/
ATOMIC_SPECIES
Tl 204.38 Tl.upf
O 16.00 O.upf
Sc 44.96 Sc.upf
ATOMIC_POSITIONS crystal
Tl 0.000 0.500 0.000
Tl 0.500 0.000 0.000
O 0.000 0.000 0.000
Sc 0.500 0.500 0.500
Tl 0.000 0.000 0.500
CELL_PARAMETERS angstrom
4.967 0.000 0.000
0.000 4.967 0.000
0.000 0.000 4.967
```

Record 17
The following is a PBE calculation of a relaxed Sc4Tl2O crystal, from Alexandria. Values from VASP.

**Crystal system**: tetragonal

```
&SYSTEM
  ibrav = 0, nat = 7, ntyp = 3
/
ATOMIC_SPECIES
Sc 44.96 Sc.upf
Tl 204.38 Tl.upf
O 16.00 O.upf
ATOMIC_POSITIONS crystal
Sc 0.500 0.000 0.000
Tl 0.357 0.357 0.285
O 0.000 0.000 0.000
Sc 0.000 0.500 0.000
Sc 0.163 0.163 0.675
Tl 0.643 0.643 0.715
Sc 0.837 0.837 0.325
CELL_PARAMETERS angstrom
-3.838 1.240 -1.640
-1.679 -3.895 0.985
-4.849 1.318 6.566
```

Record 18
The following is a PBE calculation of a relaxed Sc4TlO2 crystal, from Alexandria. Values from VASP.

**Crystal system**: trigonal

```
&SYSTEM
  ibrav = 0, nat = 7, ntyp = 3
/
ATOMIC_SPECIES
Tl 204.38 Tl.upf
O 16.00 O.upf
Sc 44.96 Sc.upf
ATOMIC_POSITIONS crystal
Tl 0.000 0.000 0.000
O 0.430 0.430 0.711
Sc 0.267 0.267 0.198
Sc 0.869 0.869 0.392
O 0.570 0.570 0.289
Sc 0.131 0.131 0.608
Sc 0.733 0.733 0.802
CELL_PARAMETERS angstrom
-0.312 -2.930 1.465
2.378 -1.107 1.988
-4.890 4.101 10.857
```

Record 19
The following is a PBE calculation of a relaxed Sc9Tl3O2 crystal, from Alexandria. Values from VASP.

**Crystal system**: trigonal

```
&SYSTEM
  ibrav = 0, nat = 14, ntyp = 3
/
ATOMIC_SPECIES
Sc 44.96 Sc.upf
O 16.00 O.upf
Tl 204.38 Tl.upf
ATOMIC_POSITIONS crystal
Sc 0.168 0.335 0.668
Sc 0.000 0.500 0.000
O 0.667 0.333 0.161
O 0.333 0.667 0.839
Sc 0.500 0.000 0.000
Tl 0.000 0.000 0.000
Sc 0.665 0.832 0.668
Sc 0.500 0.500 0.000
Sc 0.832 0.665 0.332
Sc 0.832 0.168 0.332
Tl 0.667 0.333 0.667
Tl 0.333 0.667 0.333
Sc 0.335 0.168 0.332
Sc 0.168 0.832 0.668
CELL_PARAMETERS angstrom
6.351 0.000 0.000
-3.176 5.501 0.000
0.000 0.000 7.788
```

Record 20
The following is a PBE calculation of a relaxed Sc6Tl2O crystal, from Alexandria. Values from VASP.

**Crystal system**: orthorhombic

```
&SYSTEM
  ibrav = 0, nat = 9, ntyp = 3
/
ATOMIC_SPECIES
Sc 44.96 Sc.upf
Tl 204.38 Tl.upf
O 16.00 O.upf
ATOMIC_POSITIONS crystal
Sc 0.000 0.797 0.788
Tl 0.000 0.691 0.342
Sc 0.000 0.258 0.000
Sc 0.000 0.009 0.212
Sc 0.500 0.422 0.398
Sc 0.500 0.024 0.602
Sc 0.500 0.603 0.000
O 0.500 0.846 0.000
Tl 0.000 0.349 0.658
CELL_PARAMETERS angstrom
-2.144 -1.763 -1.869
-2.316 -4.358 6.768
-3.870 6.898 -2.066
```

Record 21
The following is a PBE calculation of a relaxed Sc2TlO crystal, from Alexandria. Values from VASP.

**Crystal system**: monoclinic

```
&SYSTEM
  ibrav = 0, nat = 8, ntyp = 3
/
ATOMIC_SPECIES
Tl 204.38 Tl.upf
O 16.00 O.upf
Sc 44.96 Sc.upf
ATOMIC_POSITIONS crystal
Tl 0.750 0.189 0.305
O 0.750 0.354 0.845
O 0.250 0.646 0.155
Sc 0.250 0.284 0.018
Sc 0.750 0.704 0.353
Tl 0.250 0.811 0.695
Sc 0.250 0.296 0.647
Sc 0.750 0.716 0.982
CELL_PARAMETERS angstrom
3.222 0.000 0.000
0.000 6.184 -0.256
0.000 -2.492 7.596
```

Record 22
The following is a PBE calculation of a relaxed Sc2TlO crystal, from Alexandria. Values from VASP.

**Crystal system**: monoclinic

```
&SYSTEM
  ibrav = 0, nat = 8, ntyp = 3
/
ATOMIC_SPECIES
Sc 44.96 Sc.upf
O 16.00 O.upf
Tl 204.38 Tl.upf
ATOMIC_POSITIONS crystal
Sc 0.193 0.193 0.180
O 0.767 0.767 0.563
Tl 0.687 0.687 0.178
Sc 0.748 0.252 0.500
Sc 0.252 0.748 0.500
Tl 0.313 0.313 0.822
O 0.233 0.233 0.437
Sc 0.807 0.807 0.820
CELL_PARAMETERS angstrom
4.264 -0.013 -0.203
-0.013 4.264 -0.203
-0.400 -0.400 8.215
```

Record 23
The following is a PBE calculation of a relaxed Sc2TlO crystal, from Alexandria. Values from VASP.

**Crystal system**: tetragonal

```
&SYSTEM
  ibrav = 0, nat = 4, ntyp = 3
/
ATOMIC_SPECIES
Sc 44.96 Sc.upf
Tl 204.38 Tl.upf
O 16.00 O.upf
ATOMIC_POSITIONS crystal
Sc 0.000 0.000 0.189
Tl 0.500 0.500 0.500
O 0.500 0.500 0.000
Sc 0.000 0.000 0.811
CELL_PARAMETERS angstrom
-0.748 0.671 -2.805
-1.567 -2.527 -0.187
-6.107 3.603 2.490
```

Record 24
The following is a PBE calculation of a relaxed Sc6Tl3O2 crystal, from Alexandria. Values from VASP.

**Crystal system**: tetragonal

```
&SYSTEM
  ibrav = 0, nat = 11, ntyp = 3
/
ATOMIC_SPECIES
Sc 44.96 Sc.upf
O 16.00 O.upf
Tl 204.38 Tl.upf
ATOMIC_POSITIONS crystal
Sc 0.694 0.694 0.387
O 0.400 0.400 0.799
Sc 0.306 0.306 0.613
Sc 0.087 0.587 0.174
Tl 0.180 0.180 0.360
Tl 0.820 0.820 0.640
Sc 0.587 0.087 0.174
Tl 0.000 0.000 0.000
Sc 0.413 0.913 0.826
Sc 0.913 0.413 0.826
O 0.600 0.600 0.201
CELL_PARAMETERS angstrom
4.276 0.000 -0.839
-0.165 4.273 -0.839
0.186 0.193 12.261
```

Record 25
The following is a PBE calculation of a relaxed Sc2TlO crystal, from Alexandria. Values from VASP.

**Crystal system**: tetragonal

```
&SYSTEM
  ibrav = 0, nat = 8, ntyp = 3
/
ATOMIC_SPECIES
Sc 44.96 Sc.upf
Tl 204.38 Tl.upf
O 16.00 O.upf
ATOMIC_POSITIONS crystal
Sc 0.246 0.625 0.250
Tl 0.000 0.000 0.000
Sc 0.504 0.125 0.250
O 0.500 0.500 0.000
Sc 0.875 0.754 0.750
O 0.250 0.750 0.500
Tl 0.750 0.250 0.500
Sc 0.375 0.496 0.750
CELL_PARAMETERS angstrom
6.522 0.000 0.000
0.000 6.522 0.000
3.261 3.261 3.811
```

Uncorrected formation energy? In order: -1.053 -1.058 -1.071 -2.667 -1.209 -1.069 -1.118 -2.117 -0.852 -1.488 -0.772 -1.283 0.760 -0.373 -1.054 -0.023 -1.054 -1.742 -1.054 -0.698 -1.545 -1.600 -1.047 -1.234 -1.463 eV per atom.